(1)
# GGA-PBE PrEr4Te5, relaxed
data_PrEr4Te5
_space_group_name_H-M_alt 'C 1 2/m 1'
_space_group_IT_number 12
_cell_length_a 14.5624
_cell_length_b 4.3462
_cell_length_c 10.6728
_cell_angle_alpha 90.00
_cell_angle_beta 119.68
_cell_angle_gamma 90.00
loop_
_space_group_symop_operation_xyz
'x,y,z'
'-x,-y,-z'
'-x,y,-z'
'x,-y,z'
'x+1/2,y+1/2,z'
'-x+1/2,-y+1/2,-z'
'-x+1/2,y+1/2,-z'
'x+1/2,-y+1/2,z'
loop_
_atom_site_label
_atom_site_type_symbol
_atom_site_fract_x
_atom_site_fract_y
_atom_site_fract_z
Pr1 Pr 0.0000 0.0000 0.0000
Er1 Er 0.0964 0.5000 0.3899
Er2 Er 0.2083 0.0000 0.7996
Te1 Te 0.0000 0.0000 0.5000
Te2 Te 0.1083 0.5000 0.8938
Te3 Te 0.2056 0.0000 0.3127
# Formation energy without anion corrections (meV/atom): -1260.5
# M_tot (μB/cell): 0.0
# Energy relative to the lowest polymorph listed for this composition (eV per atom): 0.0000
# D(E_F) (states/eV per atom): 0.529

(2)
# GGA-PBE PrEr2Te3, relaxed
data_PrEr2Te3
_space_group_name_H-M_alt 'I m m m'
_space_group_IT_number 71
_space_group_name_Hall '-I 2 2'
_cell_length_a 4.3721
_cell_length_b 6.1942
_cell_length_c 13.2765
_cell_angle_alpha 90.00
_cell_angle_beta 90.00
_cell_angle_gamma 90.00
loop_
_atom_site_label
_atom_site_type_symbol
_atom_site_fract_x
_atom_site_fract_y
_atom_site_fract_z
Pr1 Pr 0.0000 0.0000 0.0000
Er1 Er 0.0000 0.0000 0.3429
Te1 Te 0.0000 0.5000 0.0000
Te2 Te 0.0000 0.5000 0.3210
# Formation energy without anion corrections (meV/atom): -1285.6
# M_tot (μB/cell): 0.0
# Energy relative to the lowest polymorph listed for this composition (eV per atom): 0.0000
# D(E_F) (states/eV per atom): 0.553

(3)
# GGA-PBE PrErTe3, relaxed
data_PrErTe3
_space_group_name_H-M_alt 'P n m a'
_space_group_IT_number 62
_cell_length_a 8.2925
_cell_length_b 4.4206
_cell_length_c 17.4094
_cell_angle_alpha 90.00
_cell_angle_beta 90.00
_cell_angle_gamma 90.00
loop_
_space_group_symop_operation_xyz
'x,y,z'
'-x,-y,-z'
'-x+1/2,-y,z+1/2'
'x+1/2,y,-z+1/2'
'x+1/2,-y+1/2,-z+1/2'
'-x+1/2,y+1/2,z+1/2'
'-x,y+1/2,-z'
'x,-y+1/2,z'
loop_
_atom_site_label
_atom_site_type_symbol
_atom_site_fract_x
_atom_site_fract_y
_atom_site_fract_z
Pr1 Pr 0.1359 0.2500 0.1996
Er1 Er 0.2275 0.7500 0.4585
Te1 Te 0.0059 0.2500 0.3948
Te2 Te 0.1185 0.7500 0.0616
Te3 Te 0.1564 0.2500 0.7866
# Formation energy without anion corrections (meV/atom): -1407.4
# M_tot (μB/cell): 0.0
# Energy relative to the lowest polymorph listed for this composition (eV per atom): 0.0099
# D(E_F) (states/eV per atom): 0.060

(4)
# GGA-PBE PrErTe, relaxed
data_PrErTe
_space_group_name_H-M_alt 'C 1 2/m 1'
_space_group_IT_number 12
_cell_length_a 17.2008
_cell_length_b 3.9641
_cell_length_c 11.2398
_cell_angle_alpha 90.00
_cell_angle_beta 91.20
_cell_angle_gamma 90.00
loop_
_space_group_symop_operation_xyz
'x,y,z'
'-x,-y,-z'
'-x,y,-z'
'x,-y,z'
'x+1/2,y+1/2,z'
'-x+1/2,-y+1/2,-z'
'-x+1/2,y+1/2,-z'
'x+1/2,-y+1/2,z'
loop_
_atom_site_label
_atom_site_type_symbol
_atom_site_fract_x
_atom_site_fract_y
_atom_site_fract_z
Pr1 Pr 0.0324 0.0000 0.3490
Pr2 Pr 0.1156 0.5000 0.8488
Er1 Er 0.1970 0.0000 0.0959
Er2 Er 0.2451 0.0000 0.6444
Te1 Te 0.0687 0.5000 0.1384
Te2 Te 0.1118 0.5000 0.5496
# Formation energy without anion corrections (meV/atom): -759.1
# M_tot (μB/cell): 0.0
# Energy relative to the lowest polymorph listed for this composition (eV per atom): 0.0131
# D(E_F) (states/eV per atom): 1.068

(5)
# GGA-PBE PrErTe3, relaxed
data_PrErTe3
_space_group_name_H-M_alt 'C m c m'
_space_group_IT_number 63
_space_group_name_Hall '-C 2c 2'
_cell_length_a 4.3252
_cell_length_b 14.2284
_cell_length_c 10.8107
_cell_angle_alpha 90.00
_cell_angle_beta 90.00
_cell_angle_gamma 90.00
loop_
_atom_site_label
_atom_site_type_symbol
_atom_site_fract_x
_atom_site_fract_y
_atom_site_fract_z
Pr1 Pr 0.0000 0.2496 0.2500
Er1 Er 0.0000 0.0000 0.0000
Te1 Te 0.0000 0.0876 0.7500
Te2 Te 0.0000 0.3542 0.5608
# Formation energy without anion corrections (meV/atom): -1417.3
# M_tot (μB/cell): 0.0
# Energy relative to the lowest polymorph listed for this composition (eV per atom): 0.0000
# D(E_F) (states/eV per atom): 0.026

(6)
# GGA-PBE PrEr4Te5, relaxed
data_PrEr4Te5
_space_group_name_H-M_alt 'I 4/m m m'
_space_group_IT_number 139
_space_group_name_Hall '-I 4 2'
_cell_length_a 4.3350
_cell_length_b 4.3350
_cell_length_c 31.2962
_cell_angle_alpha 90.00
_cell_angle_beta 90.00
_cell_angle_gamma 90.00
loop_
_atom_site_label
_atom_site_type_symbol
_atom_site_fract_x
_atom_site_fract_y
_atom_site_fract_z
Pr1 Pr 0.0000 0.0000 0.0000
Er1 Er 0.0000 0.0000 0.2091
Er2 Er 0.0000 0.0000 0.4058
Te1 Te 0.0000 0.0000 0.1058
Te2 Te 0.0000 0.0000 0.3060
Te3 Te 0.0000 0.0000 0.5000
# Formation energy without anion corrections (meV/atom): -1252.0
# M_tot (μB/cell): 0.0
# Energy relative to the lowest polymorph listed for this composition (eV per atom): 0.0085
# D(E_F) (states/eV per atom): 0.535

(7)
# GGA-PBE Pr3ErTe4, relaxed
data_Pr3ErTe4
_space_group_name_H-M_alt 'C m m m'
_space_group_IT_number 65
_space_group_name_Hall '-C 2 2'
_cell_length_a 9.1124
_cell_length_b 12.6816
_cell_length_c 4.4052
_cell_angle_alpha 90.00
_cell_angle_beta 90.00
_cell_angle_gamma 90.00
loop_
_atom_site_label
_atom_site_type_symbol
_atom_site_fract_x
_atom_site_fract_y
_atom_site_fract_z
Pr1 Pr 0.0000 0.0000 0.0000
Pr2 Pr 0.2500 0.2500 0.5000
Er1 Er 0.0000 0.5000 0.0000
Te1 Te 0.0000 0.2565 0.0000
Te2 Te 0.2375 0.5000 0.5000
# Formation energy without anion corrections (meV/atom): -1379.4
# M_tot (μB/cell): 0.0
# Energy relative to the lowest polymorph listed for this composition (eV per atom): 0.0048
# D(E_F) (states/eV per atom): 0.619

(8)
# GGA-PBE PrEr3Te6, relaxed
data_PrEr3Te6
_space_group_name_H-M_alt 'P 1 21/m 1'
_space_group_IT_number 11
_cell_length_a 12.4655
_cell_length_b 4.3799
_cell_length_c 12.8060
_cell_angle_alpha 90.00
_cell_angle_beta 109.33
_cell_angle_gamma 90.00
loop_
_space_group_symop_operation_xyz
'x,y,z'
'-x,-y,-z'
'-x,y+1/2,-z'
'x,-y+1/2,z'
loop_
_atom_site_label
_atom_site_type_symbol
_atom_site_fract_x
_atom_site_fract_y
_atom_site_fract_z
Pr1 Pr 0.0478 0.2500 0.1982
Er1 Er 0.1559 0.2500 0.5833
Er2 Er 0.3179 0.7500 0.9987
Er3 Er 0.4368 0.2500 0.3351
Te1 Te 0.0849 0.7500 0.4052
Te2 Te 0.1172 0.2500 0.9682
Te3 Te 0.1969 0.7500 0.7503
Te4 Te 0.2603 0.7500 0.2236
Te5 Te 0.3911 0.2500 0.5591
Te6 Te 0.4825 0.2500 0.1165
# Formation energy without anion corrections (meV/atom): -1392.9
# M_tot (μB/cell): 0.0
# D(E_F) (states/eV per atom): 0.000

What is the formula in the third record? PrErTe3

Among the records above, which one has the highest formation energy without anion corrections? PrErTe

Which of these has the highest D(E_F)? PrErTe